Here is a relaxed Er2Ge4Ir5 crystal from the Alexandria database. Energies are from PBE-GGA.

a = 5.615 Å, b = 5.527 Å, c = 8.023 Å
α = 79.76°, β = 69.52°, γ = 59.47°
Atoms (fractional coordinates):
1 Ir 0.000 0.500 0.000
2 Ir 0.250 0.500 0.500
3 Er 0.882 0.000 0.236
4 Ir 0.500 0.000 0.000
5 Ir 0.750 0.500 0.500
6 Ir 0.500 0.500 0.000
7 Ge 0.474 0.314 0.738
8 Er 0.118 0.000 0.764
9 Ge 0.212 0.314 0.262
10 Ge 0.788 0.686 0.738
11 Ge 0.526 0.686 0.262

Output
Crystal system   orthorhombic
Space group   No. 69
DFT formation energy   -0.5905 eV per atom
Spin magnetization   0.000 μB per formula unit
DOS at the Fermi energy   0.4896 states/eV per atom